The following is a PBE-GGA calculation of a relaxed structure of CrTe, from Alexandria.

Computed properties:
ΔE_f (raw) (eV/atom): -0.008
Symmetry: Fm-3m
DOS(E_F) (states/eV/f.u.): 1.1

POSCAR file:
```
CrTe
1.0
4.047 0.000 0.000
2.023 3.504 0.000
2.023 1.168 3.304
Cr Te
1 1
direct
0.000 0.000 0.000
0.500 0.500 0.500
```